The following is a DFT calculation (GGA-PBE) of a relaxed NaBi2Au2 crystal.

For the total DFT energy (no corrections), the calculation gives -33.065 eV/cell. The mass density comes out at 10.13 g/cm3. Its total magnetic moment is 0.00 μB/atom. Its energy relative to the elements is -0.18 eV per atom.

```
NaBi2Au2
1.0
5.449 0.000 0.000
0.000 4.716 0.000
-1.811 0.000 10.650
Na Bi Au
2 4 4
Cartesian
0.079 1.179 2.972
3.559 3.537 7.678
1.288 3.537 0.329
0.983 1.179 6.660
2.654 3.537 3.989
2.350 1.179 10.321
-0.059 3.537 5.285
-0.407 1.179 9.197
4.044 3.537 1.453
3.697 1.179 5.365
```